1.
# MgAlTlGa, optimized geometry, DFT PBE
# Spin magnetization ... 0.0 μB/f.u.
# E_form ... 0.13 eV per atom
# Uncorrected energy ... -2.552 eV per atom
data_MgAlTlGa
_chemical_formula_sum 'Mg4 Al4 Tl4 Ga4'
_cell_length_a 7.045
_cell_length_b 7.045
_cell_length_c 7.045
_cell_angle_alpha 90.00
_cell_angle_beta 90.00
_cell_angle_gamma 90.00
_symmetry_space_group_name_H-M 'F -4 3 m'
_symmetry_Int_Tables_number 216
_symmetry_space_group_name_Hall 'F -4 2 3'
loop_
_atom_site_label
_atom_site_type_symbol
_atom_site_fract_x
_atom_site_fract_y
_atom_site_fract_z
Mg1 Mg 0.000 0.000 0.000
Al1 Al 0.000 0.000 0.500
Tl1 Tl 0.250 0.250 0.250
Ga1 Ga 0.250 0.250 0.750

2.
# CeNdSeS, optimized geometry, DFT PBE
# Energy relative to the elements, uncorrected ... -1.94 eV per atom
# Spin magnetization ... 0.9 μB/f.u.
# Uncorrected energy ... -6.516 eV per atom
data_CeNdSeS
_chemical_formula_sum 'Ce3 Nd3 Se3 S3'
_cell_length_a 4.1197
_cell_length_b 4.1197
_cell_length_c 20.4133
_cell_angle_alpha 90.00
_cell_angle_beta 90.00
_cell_angle_gamma 120.00
_symmetry_space_group_name_H-M 'R 3 m'
_symmetry_Int_Tables_number 160
_symmetry_space_group_name_Hall 'R 3 -2"'
loop_
_atom_site_label
_atom_site_type_symbol
_atom_site_fract_x
_atom_site_fract_y
_atom_site_fract_z
Ce1 Ce 0.0000 0.0000 0.0000
Nd1 Nd 0.0000 0.0000 0.4882
Se1 Se 0.0000 0.0000 0.2451
S1 S 0.0000 0.0000 0.7436

Question: Which value of uncorrected energy does entry 1 give?
Answer: -2.552 eV per atom

Question: Which value of spin magnetization does entry 1 give?
Answer: 0.0 μB/f.u.

Question: Among the records above, which one has the lowest spin magnetization?
Answer: MgAlTlGa

Question: Among the records above, which one has the lowest spin magnetization?
Answer: MgAlTlGa